[1]
A crystal of Ta8Zn relaxed with PBEsol. Source: the Alexandria database, functional meta-GGA SCAN.

Output
E_form in meV/atom: 7
Symmetry: I4/mmm
M_tot in μB/f.u.: 0.0

Cell lengths 6.9928, 6.9928, 6.9928 Å; angles 93.35, 93.35, 152.03 degrees
Element x y z (fractional)
Ta 0.0000 0.3310 0.3310
Ta 0.0000 0.6690 0.6690
Ta 0.3310 0.0000 0.3310
Ta 0.3347 0.3347 0.6694
Ta 0.3347 0.6653 0.0000
Ta 0.6653 0.3347 0.0000
Ta 0.6653 0.6653 0.3306
Ta 0.6690 0.0000 0.6690
Zn 0.0000 0.0000 0.0000


[2]
A crystal of TaZn relaxed with PBEsol. Source: the Alexandria database, functional meta-GGA SCAN.

Output
E_form in meV/atom: 117
Symmetry: P-3m1
M_tot in μB/f.u.: 0.0

Cell lengths 2.8449, 2.8449, 9.2366 Å; angles 90.00, 90.00, 120.00 degrees
Element x y z (fractional)
Ta 0.3333 0.6667 0.3620
Ta 0.6667 0.3333 0.6380
Zn 0.3333 0.6667 0.8877
Zn 0.6667 0.3333 0.1123


[3]
A crystal of Ta2Zn relaxed with PBEsol. Source: the Alexandria database, functional meta-GGA SCAN.

Output
E_form in meV/atom: 292
Symmetry: P6/mmm
M_tot in μB/f.u.: 0.0

Cell lengths 4.6082, 4.6082, 2.7500 Å; angles 90.00, 90.00, 120.00 degrees
Element x y z (fractional)
Ta 0.3333 0.6667 0.0000
Ta 0.6667 0.3333 0.0000
Zn 0.0000 0.0000 0.5000


[4]
A crystal of TaZn relaxed with PBEsol. Source: the Alexandria database, functional meta-GGA SCAN.

Output
E_form in meV/atom: 158
Symmetry: R-3m
M_tot in μB/f.u.: 0.0

Cell lengths 4.9285, 4.9285, 4.9285 Å; angles 33.42, 33.42, 33.42 degrees
Element x y z (fractional)
Ta 0.0000 0.0000 0.0000
Zn 0.5000 0.5000 0.5000


[5]
A crystal of Ta3Zn relaxed with PBEsol. Source: the Alexandria database, functional meta-GGA SCAN.

Output
E_form in meV/atom: 114
Symmetry: Cmmm
M_tot in μB/f.u.: 0.0

Cell lengths 5.0752, 5.0752, 2.8398 Å; angles 90.00, 90.00, 111.90 degrees
Element x y z (fractional)
Ta 0.0000 0.0000 0.0000
Ta 0.0000 0.5000 0.5000
Ta 0.5000 0.0000 0.5000
Zn 0.5000 0.5000 0.0000


[6]
A crystal of TaZn relaxed with PBEsol. Source: the Alexandria database, functional meta-GGA SCAN.

Output
E_form in meV/atom: 43
Symmetry: Imma
M_tot in μB/f.u.: 0.0

Cell lengths 5.2959, 5.2959, 5.2959 Å; angles 147.48, 127.84, 62.83 degrees
Element x y z (fractional)
Ta 0.3670 0.1170 0.2500
Ta 0.6330 0.8830 0.7500
Zn 0.1101 0.3601 0.7500
Zn 0.8899 0.6399 0.2500


[7]
A crystal of Ta3Zn2 relaxed with PBEsol. Source: the Alexandria database, functional meta-GGA SCAN.

Output
E_form in meV/atom: 166
Symmetry: R-3m
M_tot in μB/f.u.: 0.0

Cell lengths 11.9323, 11.9323, 11.9323 Å; angles 13.70, 13.70, 13.70 degrees
Element x y z (fractional)
Ta 0.0000 0.0000 0.0000
Ta 0.2025 0.2025 0.2025
Ta 0.7975 0.7975 0.7975
Zn 0.3987 0.3987 0.3987
Zn 0.6013 0.6013 0.6013


[8]
A crystal of Ta3Zn relaxed with PBEsol. Source: the Alexandria database, functional meta-GGA SCAN.

Output
E_form in meV/atom: -12
Symmetry: P4/mmm
M_tot in μB/f.u.: 0.0

Cell lengths 3.3360, 3.3360, 5.9779 Å; angles 90.00, 90.00, 90.00 degrees
Element x y z (fractional)
Ta 0.0000 0.0000 0.0000
Ta 0.5000 0.5000 0.2546
Ta 0.5000 0.5000 0.7454
Zn 0.0000 0.0000 0.5000


[9]
A crystal of Ta6Zn7 relaxed with PBEsol. Source: the Alexandria database, functional meta-GGA SCAN.

Output
E_form in meV/atom: -151
Symmetry: R-3m
M_tot in μB/f.u.: 0.0

Cell lengths 9.5058, 9.5058, 9.5058 Å; angles 30.44, 30.44, 30.44 degrees
Element x y z (fractional)
Ta 0.0456 0.0456 0.0456
Ta 0.1494 0.1494 0.1494
Ta 0.3352 0.3352 0.3352
Ta 0.6648 0.6648 0.6648
Ta 0.8506 0.8506 0.8506
Ta 0.9544 0.9544 0.9544
Zn 0.0863 0.5940 0.5940
Zn 0.4060 0.4060 0.9137
Zn 0.4060 0.9137 0.4060
Zn 0.5000 0.5000 0.5000
Zn 0.5940 0.0863 0.5940
Zn 0.5940 0.5940 0.0863
Zn 0.9137 0.4060 0.4060


[10]
A crystal of Ta4Zn5 relaxed with PBEsol. Source: the Alexandria database, functional meta-GGA SCAN.

Output
E_form in meV/atom: -66
Symmetry: I4/mmm
M_tot in μB/f.u.: 0.0

Cell lengths 6.6248, 6.6248, 6.6248 Å; angles 93.89, 93.89, 149.80 degrees
Element x y z (fractional)
Ta 0.0000 0.3297 0.3297
Ta 0.0000 0.6703 0.6703
Ta 0.3297 0.0000 0.3297
Ta 0.6703 0.0000 0.6703
Zn 0.0000 0.0000 0.0000
Zn 0.3297 0.3297 0.6593
Zn 0.3297 0.6703 0.0000
Zn 0.6703 0.3297 0.0000
Zn 0.6703 0.6703 0.3407


[11]
A crystal of Ta2Zn relaxed with PBEsol. Source: the Alexandria database, functional meta-GGA SCAN.

Output
E_form in meV/atom: -12
Symmetry: P6_3/mmc
M_tot in μB/f.u.: 0.0

Cell lengths 4.5615, 4.5615, 5.3953 Å; angles 90.00, 90.00, 120.00 degrees
Element x y z (fractional)
Ta 0.0000 0.0000 0.0000
Ta 0.0000 0.0000 0.5000
Ta 0.3333 0.6667 0.2500
Ta 0.6667 0.3333 0.7500
Zn 0.3333 0.6667 0.7500
Zn 0.6667 0.3333 0.2500


[12]
A crystal of TaZn22 relaxed with PBEsol. Source: the Alexandria database, functional meta-GGA SCAN.

Output
E_form in meV/atom: -12
Symmetry: Fd-3m
M_tot in μB/f.u.: 0.0

Cell lengths 9.7199, 9.7199, 9.7199 Å; angles 60.00, 60.00, 60.00 degrees
Element x y z (fractional)
Ta 0.1250 0.1250 0.1250
Ta 0.8750 0.8750 0.8750
Zn 0.0000 0.0000 0.0000
Zn 0.0000 0.0000 0.5000
Zn 0.0000 0.5000 0.0000
Zn 0.0000 0.5000 0.5000
Zn 0.0577 0.3184 0.3184
Zn 0.0577 0.3184 0.8054
Zn 0.0577 0.8054 0.3184
Zn 0.1946 0.6816 0.6816
Zn 0.1946 0.6816 0.9423
Zn 0.1946 0.9423 0.6816
Zn 0.2345 0.2345 0.5155
Zn 0.2345 0.5155 0.2345
Zn 0.2345 0.5155 0.5155
Zn 0.3184 0.0577 0.3184
Zn 0.3184 0.0577 0.8054
Zn 0.3184 0.3184 0.0577
Zn 0.3184 0.3184 0.8054
Zn 0.3184 0.8054 0.0577
Zn 0.3184 0.8054 0.3184
Zn 0.4845 0.4845 0.7655
Zn 0.4845 0.7655 0.4845
Zn 0.4845 0.7655 0.7655
Zn 0.5000 0.0000 0.0000
Zn 0.5000 0.0000 0.5000
Zn 0.5000 0.5000 0.0000
Zn 0.5000 0.5000 0.5000
Zn 0.5155 0.2345 0.2345
Zn 0.5155 0.2345 0.5155
Zn 0.5155 0.5155 0.2345
Zn 0.6816 0.1946 0.6816
Zn 0.6816 0.1946 0.9423
Zn 0.6816 0.6816 0.1946
Zn 0.6816 0.6816 0.9423
Zn 0.6816 0.9423 0.1946
Zn 0.6816 0.9423 0.6816
Zn 0.7655 0.4845 0.4845
Zn 0.7655 0.4845 0.7655
Zn 0.7655 0.7655 0.4845
Zn 0.8054 0.0577 0.3184
Zn 0.8054 0.3184 0.0577
Zn 0.8054 0.3184 0.3184
Zn 0.9423 0.1946 0.6816
Zn 0.9423 0.6816 0.1946
Zn 0.9423 0.6816 0.6816


> What is the M_tot in the twelfth record?

0.0 μB/f.u.


> Which value of E_form does entry 10 give?

-66 meV/atom